(1)
Density functional theory data (PBE) for a geometry-optimized UCo2Si structure.

Geometry as POSCAR:
```
UCo2Si
1.0
2.7479 0.0000 0.0000
-1.3740 2.3798 0.0000
0.0000 0.0000 25.1507
U Co Si
3 6 3
direct
0.0000 0.0000 0.0000
0.3333 0.6667 0.6667
0.6667 0.3333 0.3333
0.0000 0.0000 0.2363
0.0000 0.0000 0.7637
0.3333 0.6667 0.4304
0.3333 0.6667 0.9029
0.6667 0.3333 0.0971
0.6667 0.3333 0.5696
0.0000 0.0000 0.5000
0.3333 0.6667 0.1667
0.6667 0.3333 0.8333
```

- E_form (uncorrected) (meV/atom) = 39
- electronic total energy (eV per atom) = -7.692

---

(2)
Density functional theory data (PBE) for a geometry-optimized UCo4Si2 structure.

Geometry as POSCAR:
```
UCo4Si2
1.0
3.5946 0.0000 0.0000
0.0000 3.5946 0.0000
0.0000 0.0000 15.2243
U Co Si
2 8 4
direct
0.0000 0.0000 0.0000
0.5000 0.5000 0.5000
0.0000 0.0000 0.1405
0.0000 0.0000 0.8595
0.0000 0.5000 0.2500
0.0000 0.5000 0.7500
0.5000 0.0000 0.2500
0.5000 0.0000 0.7500
0.5000 0.5000 0.3595
0.5000 0.5000 0.6405
0.0000 0.0000 0.3502
0.0000 0.0000 0.6498
0.5000 0.5000 0.1498
0.5000 0.5000 0.8502
```

- E_form (uncorrected) (meV/atom) = -237
- electronic total energy (eV per atom) = -7.459

---

(3)
Density functional theory data (PBE) for a geometry-optimized U2Co2Si3 structure.

Geometry as POSCAR:
```
U2Co2Si3
1.0
2.0393 -8.5331 0.0000
2.0393 8.5331 0.0000
0.0000 0.0000 6.4139
U Co Si
4 4 6
direct
0.0490 0.9510 0.7500
0.1612 0.8388 0.2500
0.8388 0.1612 0.7500
0.9510 0.0490 0.2500
0.3035 0.6965 0.0462
0.3035 0.6965 0.4538
0.6965 0.3035 0.5462
0.6965 0.3035 0.9538
0.2163 0.7837 0.7500
0.4351 0.5649 0.5628
0.4351 0.5649 0.9372
0.5649 0.4351 0.0628
0.5649 0.4351 0.4372
0.7837 0.2163 0.2500
```

- E_form (uncorrected) (meV/atom) = -485
- electronic total energy (eV per atom) = -8.064

---

(4)
Density functional theory data (PBE) for a geometry-optimized U3Co2Si4 structure.

Geometry as POSCAR:
```
U3Co2Si4
1.0
5.1987 -1.9846 0.0000
5.1987 1.9846 0.0000
-3.6311 0.0000 7.3237
U Co Si
3 2 4
direct
0.0000 0.0000 0.0000
0.3940 0.3940 0.3465
0.6060 0.6060 0.6535
0.3300 0.3300 0.7044
0.6700 0.6700 0.2956
0.1225 0.1225 0.4048
0.2719 0.2719 0.9385
0.7281 0.7281 0.0615
0.8775 0.8775 0.5952
```

- E_form (uncorrected) (meV/atom) = -466
- electronic total energy (eV per atom) = -8.218

---

(5)
Density functional theory data (PBE) for a geometry-optimized U3Co6Si2 structure.

Geometry as POSCAR:
```
U3Co6Si2
1.0
-4.2352 4.2352 4.2352
4.2352 -4.2352 4.2352
4.2352 4.2352 -4.2352
U Co Si
6 12 4
direct
0.0000 0.2661 0.2661
0.0000 0.7339 0.7339
0.2661 0.0000 0.2661
0.2661 0.2661 0.0000
0.7339 0.0000 0.7339
0.7339 0.7339 0.0000
0.0000 0.3509 0.6491
0.0000 0.6491 0.3509
0.2983 0.6491 0.6491
0.3509 0.0000 0.6491
0.3509 0.3509 0.7017
0.3509 0.6491 0.0000
0.3509 0.7017 0.3509
0.6491 0.0000 0.3509
0.6491 0.2983 0.6491
0.6491 0.3509 0.0000
0.6491 0.6491 0.2983
0.7017 0.3509 0.3509
0.0000 0.0000 0.5000
0.0000 0.5000 0.0000
0.5000 0.0000 0.0000
0.5000 0.5000 0.5000
```

- E_form (uncorrected) (meV/atom) = -438
- electronic total energy (eV per atom) = -8.379

---

(6)
Density functional theory data (PBE) for a geometry-optimized UCo12Si4 structure.

Geometry as POSCAR:
```
UCo12Si4
1.0
-3.8570 3.8570 3.8570
3.8570 -3.8570 3.8570
3.8570 3.8570 -3.8570
U Co Si
1 12 4
direct
0.0000 0.0000 0.0000
0.1493 0.3520 0.5013
0.1493 0.6480 0.7973
0.2027 0.8507 0.3520
0.3520 0.2027 0.8507
0.3520 0.5013 0.1493
0.4987 0.8507 0.6480
0.5013 0.1493 0.3520
0.6480 0.4987 0.8507
0.6480 0.7973 0.1493
0.7973 0.1493 0.6480
0.8507 0.3520 0.2027
0.8507 0.6480 0.4987
0.0000 0.0000 0.5000
0.0000 0.5000 0.0000
0.5000 0.0000 0.0000
0.5000 0.5000 0.5000
```

- E_form (uncorrected) (meV/atom) = 265
- electronic total energy (eV per atom) = -6.691

---

(7)
Density functional theory data (PBE) for a geometry-optimized UCo12Si6 structure.

Geometry as POSCAR:
```
UCo12Si6
1.0
5.1859 2.9941 2.5168
-5.1859 2.9941 2.5168
0.0000 -5.9882 2.5168
U Co Si
1 12 6
direct
0.0000 0.0000 0.0000
0.1280 0.5000 0.8720
0.1280 0.8720 0.5000
0.1770 0.4237 0.4237
0.4237 0.1770 0.4237
0.4237 0.4237 0.1770
0.5000 0.1280 0.8720
0.5000 0.8720 0.1280
0.5763 0.5763 0.8230
0.5763 0.8230 0.5763
0.8230 0.5763 0.5763
0.8720 0.1280 0.5000
0.8720 0.5000 0.1280
0.2494 0.2494 0.6974
0.2494 0.6974 0.2494
0.3026 0.7506 0.7506
0.6974 0.2494 0.2494
0.7506 0.3026 0.7506
0.7506 0.7506 0.3026
```

- E_form (uncorrected) (meV/atom) = -310
- electronic total energy (eV per atom) = -7.105

---

(8)
Density functional theory data (PBE) for a geometry-optimized UCo3Si structure.

Geometry as POSCAR:
```
UCo3Si
1.0
2.6725 -5.5517 0.0000
2.6725 5.5517 0.0000
0.0000 0.0000 4.4254
U Co Si
2 6 2
direct
0.0776 0.9224 0.7500
0.9224 0.0776 0.2500
0.1013 0.4344 0.7500
0.4344 0.1013 0.2500
0.5000 0.5000 0.0000
0.5000 0.5000 0.5000
0.5656 0.8987 0.7500
0.8987 0.5656 0.2500
0.3194 0.6806 0.2500
0.6806 0.3194 0.7500
```

- E_form (uncorrected) (meV/atom) = -383
- ΔE to the lowest computed polymorph (eV per formula unit) = 0.00
- electronic total energy (eV per atom) = -7.989

---

(9)
Density functional theory data (PBE) for a geometry-optimized UCo3Si structure.

Geometry as POSCAR:
```
UCo3Si
1.0
-2.3031 2.3031 7.6634
2.3031 -2.3031 7.6634
2.3031 2.3031 -7.6634
U Co Si
2 6 2
direct
0.1248 0.1248 0.0000
0.8752 0.8752 0.0000
0.3735 0.1308 0.7573
0.3735 0.6162 0.2427
0.3838 0.6265 0.7573
0.5252 0.0252 0.5000
0.8692 0.6265 0.2427
0.9748 0.4748 0.5000
0.2500 0.7500 0.5000
0.5000 0.5000 0.0000
```

- E_form (uncorrected) (meV/atom) = 49
- ΔE to the lowest computed polymorph (eV per formula unit) = 2.16
- electronic total energy (eV per atom) = -7.557

---

(10)
Density functional theory data (PBE) for a geometry-optimized UCo3Si2 structure.

Geometry as POSCAR:
```
UCo3Si2
1.0
7.6068 -1.8559 0.0000
7.6068 1.8559 0.0000
-2.6634 0.0000 8.6545
U Co Si
3 9 6
direct
0.0000 0.0000 0.0000
0.1632 0.1632 0.7036
0.8368 0.8368 0.2964
0.0482 0.0482 0.3367
0.2192 0.2192 0.3881
0.3238 0.3238 0.0451
0.3849 0.3849 0.8127
0.5000 0.5000 0.5000
0.6151 0.6151 0.1873
0.6762 0.6762 0.9549
0.7808 0.7808 0.6119
0.9518 0.9518 0.6633
0.1943 0.1943 0.1209
0.3617 0.3617 0.5538
0.4657 0.4657 0.2317
0.5343 0.5343 0.7683
0.6383 0.6383 0.4462
0.8057 0.8057 0.8791
```

- E_form (uncorrected) (meV/atom) = -544
- electronic total energy (eV per atom) = -7.786

---

(11)
Density functional theory data (PBE) for a geometry-optimized U6Co30Si19 structure.

Geometry as POSCAR:
```
U6Co30Si19
1.0
20.9584 0.0000 0.0000
-10.4792 18.1505 0.0000
0.0000 0.0000 3.6477
U Co Si
12 60 38
direct
0.0373 0.2622 0.2500
0.1338 0.6152 0.2500
0.2249 0.9627 0.2500
0.2622 0.2249 0.7500
0.3848 0.5186 0.2500
0.4814 0.8662 0.2500
0.5186 0.1338 0.7500
0.6152 0.4814 0.7500
0.7378 0.7751 0.2500
0.7751 0.0373 0.7500
0.8662 0.3848 0.7500
0.9627 0.7378 0.7500
0.0042 0.3564 0.7500
0.0124 0.0866 0.2500
0.0422 0.4932 0.7500
0.0518 0.8553 0.2500
0.0742 0.9876 0.2500
0.0866 0.0742 0.7500
0.1009 0.7067 0.7500
0.1053 0.4456 0.2500
0.1378 0.8439 0.7500
0.1447 0.1965 0.2500
0.1561 0.2940 0.7500
0.1965 0.0518 0.7500
0.2015 0.7954 0.2500
0.2046 0.4061 0.2500
0.2444 0.5462 0.2500
0.2536 0.6462 0.7500
0.2933 0.3943 0.7500
0.2940 0.1378 0.2500
0.3018 0.7556 0.2500
0.3402 0.8947 0.2500
0.3522 0.9958 0.7500
0.3538 0.6074 0.7500
0.3564 0.3522 0.2500
0.3926 0.7464 0.7500
0.3943 0.1009 0.2500
0.4061 0.2015 0.7500
0.4456 0.3402 0.7500
0.4510 0.9578 0.7500
0.4538 0.6982 0.2500
0.4932 0.4510 0.2500
0.5068 0.5490 0.7500
0.5462 0.3018 0.7500
0.5490 0.0422 0.2500
0.5544 0.6598 0.2500
0.5939 0.7985 0.2500
0.6057 0.8991 0.7500
0.6074 0.2536 0.2500
0.6436 0.6478 0.7500
0.6462 0.3926 0.2500
0.6478 0.0042 0.2500
0.6598 0.1053 0.7500
0.6982 0.2444 0.7500
0.7060 0.8622 0.7500
0.7067 0.6057 0.2500
0.7464 0.3538 0.2500
0.7556 0.4538 0.7500
0.7954 0.5939 0.7500
0.7985 0.2046 0.7500
0.8035 0.9482 0.2500
0.8439 0.7060 0.2500
0.8553 0.8035 0.7500
0.8622 0.1561 0.2500
0.8947 0.5544 0.7500
0.8991 0.2933 0.2500
0.9134 0.9258 0.2500
0.9258 0.0124 0.7500
0.9482 0.1447 0.7500
0.9578 0.5068 0.2500
0.9876 0.9134 0.7500
0.9958 0.6436 0.2500
0.0135 0.5850 0.7500
0.0674 0.1706 0.7500
0.0824 0.7648 0.2500
0.1032 0.9326 0.7500
0.1243 0.3846 0.7500
0.1641 0.5248 0.7500
0.1706 0.1032 0.2500
0.2220 0.7362 0.7500
0.2352 0.3176 0.2500
0.2603 0.8757 0.7500
0.2638 0.4858 0.7500
0.3176 0.0824 0.7500
0.3333 0.6667 0.2500
0.3607 0.8359 0.7500
0.3846 0.2603 0.2500
0.4150 0.4285 0.7500
0.4285 0.0135 0.2500
0.4752 0.6393 0.7500
0.4858 0.2220 0.2500
0.5142 0.7780 0.7500
0.5248 0.3607 0.2500
0.5715 0.9865 0.7500
0.5850 0.5715 0.2500
0.6154 0.7397 0.7500
0.6393 0.1641 0.2500
0.6667 0.3333 0.7500
0.6824 0.9176 0.2500
0.7362 0.5142 0.2500
0.7397 0.1243 0.2500
0.7648 0.6824 0.7500
0.7780 0.2638 0.2500
0.8294 0.8968 0.7500
0.8359 0.4752 0.2500
0.8757 0.6154 0.2500
0.8968 0.0674 0.2500
0.9176 0.2352 0.7500
0.9326 0.8294 0.2500
0.9865 0.4150 0.2500
```

- E_form (uncorrected) (meV/atom) = -547
- electronic total energy (eV per atom) = -7.527

---

(12)
Density functional theory data (PBE) for a geometry-optimized UCo5Si structure.

Geometry as POSCAR:
```
UCo5Si
1.0
3.7754 0.0000 0.0000
0.0000 3.7754 0.0000
0.0000 0.0000 6.2749
U Co Si
1 5 1
direct
0.0000 0.0000 0.0000
0.0000 0.5000 0.2878
0.0000 0.5000 0.7122
0.5000 0.0000 0.2878
0.5000 0.0000 0.7122
0.5000 0.5000 0.0000
0.5000 0.5000 0.5000
```

- E_form (uncorrected) (meV/atom) = -225
- electronic total energy (eV per atom) = -7.688

---

(13)
Density functional theory data (PBE) for a geometry-optimized UCo10Si2 structure.

Geometry as POSCAR:
```
UCo10Si2
1.0
0.0000 5.6217 5.7618
2.3913 0.0000 5.7618
2.3913 5.6217 0.0000
U Co Si
1 10 2
direct
0.0000 0.0000 0.0000
0.0000 0.0000 0.5000
0.0013 0.3471 0.6529
0.2737 0.4978 0.5022
0.3471 0.0013 0.9987
0.4978 0.2737 0.7263
0.5000 0.5000 0.0000
0.5022 0.7263 0.2737
0.6529 0.9987 0.0013
0.7263 0.5022 0.4978
0.9987 0.6529 0.3471
0.0000 0.5000 0.0000
0.5000 0.0000 0.5000
```

- E_form (uncorrected) (meV/atom) = -209
- electronic total energy (eV per atom) = -7.377

---

(14)
Density functional theory data (PBE) for a geometry-optimized UCo2Si3 structure.

Geometry as POSCAR:
```
UCo2Si3
1.0
7.5408 -1.9329 0.0000
7.5408 1.9329 0.0000
-2.5134 0.0000 8.7596
U Co Si
3 6 9
direct
0.0000 0.0000 0.0000
0.1534 0.1534 0.7030
0.8466 0.8466 0.2970
0.1977 0.1977 0.1068
0.3575 0.3575 0.5538
0.4918 0.4918 0.2278
0.5082 0.5082 0.7722
0.6425 0.6425 0.4462
0.8023 0.8023 0.8932
0.0473 0.0473 0.3565
0.2186 0.2186 0.3777
0.3448 0.3448 0.0567
0.3621 0.3621 0.8060
0.5000 0.5000 0.5000
0.6379 0.6379 0.1940
0.6552 0.6552 0.9433
0.7814 0.7814 0.6223
0.9527 0.9527 0.6435
```

- E_form (uncorrected) (meV/atom) = -502
- ΔE to the lowest computed polymorph (eV per formula unit) = 0.00
- electronic total energy (eV per atom) = -7.463

---

(15)
Density functional theory data (PBE) for a geometry-optimized UCo2Si structure.

Geometry as POSCAR:
```
UCo2Si
1.0
2.8679 0.0000 0.0000
0.0000 2.8679 0.0000
0.0000 0.0000 6.4951
U Co Si
1 2 1
direct
0.0000 0.0000 0.0000
0.5000 0.5000 0.2972
0.5000 0.5000 0.7028
0.0000 0.0000 0.5000
```

- E_form (uncorrected) (meV/atom) = -318
- electronic total energy (eV per atom) = -8.049

---

(16)
Density functional theory data (PBE) for a geometry-optimized U4CoSi8 structure.

Geometry as POSCAR:
```
U4CoSi8
1.0
3.8732 0.0000 0.0000
0.0000 3.9914 0.0000
0.0000 0.0000 15.2145
U Co Si
4 1 8
direct
0.0000 0.0000 0.0000
0.0000 0.5000 0.4899
0.5000 0.0000 0.7900
0.5000 0.5000 0.2872
0.0000 0.5000 0.7043
0.0000 0.0000 0.3363
0.0000 0.0000 0.6305
0.0000 0.5000 0.1426
0.0000 0.5000 0.8532
0.5000 0.0000 0.1450
0.5000 0.0000 0.4386
0.5000 0.5000 0.6294
0.5000 0.5000 0.9488
```

- E_form (uncorrected) (meV/atom) = -282
- electronic total energy (eV per atom) = -7.639